1.
Computed, not measured: an optimized crystal structure of CdCoRe4 at the PBE level of DFT.

The value obtained for the density of states at the Fermi level is 22.0 states/eV per cell. The formation enthalpy at 0 K comes out at 0.70 eV per atom. The crystal system is cubic.

The structure belongs to space group F-43m (No. 216); the cell edges are 7.351, 7.351 and 7.351 Å and the angles 90.00°, 90.00° and 90.00°. The inequivalent atoms are Cd at (0.000, 0.000, 0.000), Co at (0.250, 0.250, 0.750) and Re at (0.125, 0.125, 0.375).

---

2.
Computed, not measured: an optimized crystal structure of CdCoRe2 at the PBE level of DFT.

The value obtained for the density of states at the Fermi level is 16.9 states/eV per cell. The formation enthalpy at 0 K comes out at 0.94 eV per atom. The crystal system is tetragonal.

The structure belongs to space group I-42d (No. 122); the cell edges are 7.277, 7.277 and 4.969 Å and the angles 90.00°, 90.00° and 90.00°. The inequivalent atoms are Cd at (0.000, 0.000, 0.000), Co at (0.000, 0.000, 0.500) and Re at (0.187, 0.250, 0.625).

---

3.
Computed, not measured: an optimized crystal structure of CdCo2Re at the PBE level of DFT.

The value obtained for the density of states at the Fermi level is 7.5 states/eV per cell. The formation enthalpy at 0 K comes out at 0.40 eV per atom. The crystal system is monoclinic.

The structure belongs to space group C2/m (No. 12); the cell edges are 8.421, 2.687 and 5.155 Å and the angles 90.00°, 97.40° and 90.00°. The inequivalent atoms are Cd at (0.000, 0.000, 0.000), Co at (0.244, 0.000, 0.697) and Re at (0.000, 0.500, 0.500).

---

- The highest formation enthalpy at 0 K belongs to which entry?
  CdCoRe2